{"formula": "BC", "functional": "PBE-GGA", "state": "optimized geometry", "cell": [[4.483, 0.103, -1.569], [2.944, 3.390, -1.534], [-0.231, -0.051, 5.516]], "species": ["B", "B", "B", "B", "B", "B", "C", "C", "C", "C", "C", "C"], "frac_coords": [[0.989, 0.008, 0.991], [0.281, 0.708, 0.290], [0.584, 0.135, 0.410], [0.689, 0.653, 0.309], [0.858, 0.422, 0.576], [0.333, 0.343, 0.687], [0.323, 0.324, 0.144], [0.018, 0.984, 0.518], [0.269, 0.746, 0.745], [0.575, 0.074, 0.922], [0.658, 0.675, 0.840], [0.923, 0.427, 0.069]], "e_above_lowest_polymorph_ev_per_atom": 0.223, "dos_ef_per_ev_fu": 0.33, "formation_enthalpy_0k_ev_per_atom": 0.37}